Computed, not measured: CsTl2SCl after structural relaxation at the PBE level of DFT.

a = 8.3411 Å, b = 4.3451 Å, c = 10.2522 Å
α = 90.00°, β = 96.17°, γ = 90.00°
Closest atoms and distances in Å follow each position.
Space group P2_1/m (No. 11)
Asymmetric unit:
Cs  0.0104  0.2500  0.2174 (multiplicity 2)  3 Cl 3.40-3.41, 2 S 3.68
Tl  0.3131  0.2500  0.5439 (multiplicity 2)  3 S 2.93-2.94
Tl  0.4958  0.2500  0.1895 (multiplicity 2)  1 Cl 2.99, 2 S 3.12
S  0.3428  0.7500  0.3558 (multiplicity 2)  5 Tl 2.93-3.12
Cl  0.2391  0.2500  0.9619 (multiplicity 2)  1 Tl 2.99

## Properties
DOS at the Fermi energy: 0.00 states/eV/atom
E_form (uncorrected): -0.895 eV/atom

Computed, not measured: Cr3Ni3Rh2 after structural relaxation at the PBE level of DFT.

a = 3.7069 Å, b = 3.7571 Å, c = 14.0591 Å
α = 90.00°, β = 90.00°, γ = 90.00°
Closest atoms and distances in Å follow each position.
Space group Immm (No. 71)
Asymmetric unit:
Cr  0.0000  0.0000  0.0000 (multiplicity 2)  8 Ni 2.50-2.64, 4 Cr 2.52
Cr  0.0000  0.5000  0.3782 (multiplicity 4)  2 Cr 2.52, 6 Ni 2.54-2.64, 4 Rh 2.59-2.60
Ni  0.0000  0.0000  0.5000 (multiplicity 2)  4 Ni 2.49, 8 Cr 2.54-2.64
Ni  0.0000  0.5000  0.1179 (multiplicity 4)  2 Ni 2.49, 6 Cr 2.50-2.64, 4 Rh 2.61-2.66
Rh  0.0000  0.0000  0.2514 (multiplicity 4)  4 Cr 2.59-2.60, 4 Ni 2.61-2.66, 4 Rh 2.64

## Properties
energy of formation from the pure elements: -0.0119 eV per atom
DOS at the Fermi energy: 1.18 states/eV/atom

Computed, not measured: CaLa4Pr2 after structural relaxation at the PBE level of DFT.

a = 3.7464 Å, b = 3.7464 Å, c = 64.7876 Å
α = 90.00°, β = 90.00°, γ = 120.00°
Closest atoms and distances in Å follow each position.
Space group R-3m (No. 166, hexagonal axes)
Asymmetric unit:
Ca  0.0000  0.0000  0.0000 (multiplicity 3)  6 Ca 3.75, 6 La 3.90
La  0.0000  0.0000  0.1434 (multiplicity 6)  9 La 3.71-3.75, 3 Pr 3.77
La  0.0000  0.0000  0.2833 (multiplicity 6)  3 Pr 3.67, 6 La 3.75, 3 Ca 3.90
Pr  0.0000  0.0000  0.4291 (multiplicity 6)  6 La 3.67-3.77, 6 Pr 3.75

## Properties
energy of formation from the pure elements: 0.0175 eV per atom
DOS at the Fermi energy: 1.62 states/eV/atom

Computed, not measured: ErPuSb2 after structural relaxation at the PBE level of DFT.

a = 3.6602 Å, b = 3.6602 Å, c = 7.9720 Å
α = 90.00°, β = 90.00°, γ = 90.00°
Closest atoms and distances in Å follow each position.
Space group P4/mmm (No. 123)
Asymmetric unit:
Er  0.0000  0.0000  0.0000 (multiplicity 1)  8 Sb 3.24
Pu  0.0000  0.0000  0.5000 (multiplicity 1)  8 Sb 3.29, 4 Pu 3.66
Sb  0.5000  0.5000  0.2443 (multiplicity 2)  4 Er 3.24, 4 Pu 3.29

## Properties
DOS at the Fermi energy: 2.30 states/eV/atom
E_form (uncorrected): -0.660 eV/atom

| no. | raw total energy (eV per atom) |
| --- | --- |
| 1 | -3.207 |
| 2 | -7.627 |
| 3 | -4.450 |
| 4 | -7.445 |